(1)
# LiPuAlPd PBE-GGA optimized geometry
# Crystal system: cubic
# Energy of formation from the pure elements: -1.1 eV/f.u.
# DOS(E_F): 8.657 states/eV/f.u.
data_LiPuAlPd
_cell_length_a 6.670
_cell_length_b 6.670
_cell_length_c 6.670
_cell_angle_alpha 90.00
_cell_angle_beta 90.00
_cell_angle_gamma 90.00
_space_group_name_H-M_alt 'F -4 3 m'
_space_group_IT_number 216
_space_group_name_Hall 'F -4 2 3'
loop_
_atom_site_label
_atom_site_fract_x
_atom_site_fract_y
_atom_site_fract_z
Li1 0.000 0.000 0.000
Pu1 0.250 0.250 0.250
Al1 0.250 0.250 0.750
Pd1 0.000 0.000 0.500


(2)
# Li2AlPdSe PBE-GGA optimized geometry
# Crystal system: tetragonal
# DOS(E_F): 1.330 states/eV/f.u.
# Energy relative to the elements, uncorrected: -0.091 eV per atom
data_Li2AlPdSe
_cell_length_a 4.808
_cell_length_b 4.808
_cell_length_c 4.729
_cell_angle_alpha 90.00
_cell_angle_beta 90.00
_cell_angle_gamma 90.00
_space_group_name_H-M_alt 'P 4/m m m'
_space_group_IT_number 123
_space_group_name_Hall '-P 4 2'
loop_
_atom_site_label
_atom_site_fract_x
_atom_site_fract_y
_atom_site_fract_z
Li1 0.000 0.500 0.000
Al1 0.000 0.000 0.500
Pd1 0.500 0.500 0.000
Se1 0.500 0.500 0.500


(3)
# Li2AlSi2Pd5 PBE-GGA optimized geometry
# Crystal system: tetragonal
# DOS(E_F): 3.520 states/eV/f.u.
# Energy relative to the elements, uncorrected: -0.628 eV per atom
data_Li2AlSi2Pd5
_cell_length_a 10.063
_cell_length_b 10.063
_cell_length_c 3.060
_cell_angle_alpha 90.00
_cell_angle_beta 90.00
_cell_angle_gamma 90.00
_space_group_name_H-M_alt 'P 4/m b m'
_space_group_IT_number 127
_space_group_name_Hall '-P 4 2ab'
loop_
_atom_site_label
_atom_site_fract_x
_atom_site_fract_y
_atom_site_fract_z
Li1 0.173 0.327 0.000
Al1 0.000 0.000 0.000
Si1 0.133 0.633 0.000
Pd1 0.000 0.500 0.500
Pd2 0.047 0.795 0.500


(4)
# LiSm2Al2Pd5 PBE-GGA optimized geometry
# Crystal system: tetragonal
# Energy of formation from the pure elements: -6.8 eV/f.u.
# DOS(E_F): 5.820 states/eV/f.u.
data_LiSm2Al2Pd5
_cell_length_a 10.453
_cell_length_b 10.453
_cell_length_c 3.334
_cell_angle_alpha 90.00
_cell_angle_beta 90.00
_cell_angle_gamma 90.00
_space_group_name_H-M_alt 'P 4/m b m'
_space_group_IT_number 127
_space_group_name_Hall '-P 4 2ab'
loop_
_atom_site_label
_atom_site_fract_x
_atom_site_fract_y
_atom_site_fract_z
Li1 0.000 0.000 0.000
Sm1 0.174 0.326 0.000
Al1 0.127 0.627 0.000
Pd1 0.000 0.500 0.500
Pd2 0.060 0.799 0.500


(5)
# LiSm2Al3Pd4 PBE-GGA optimized geometry
# Crystal system: tetragonal
# Energy of formation from the pure elements: -7.9 eV/f.u.
# DOS(E_F): 4.788 states/eV/f.u.
data_LiSm2Al3Pd4
_cell_length_a 4.302
_cell_length_b 4.302
_cell_length_c 10.265
_cell_angle_alpha 90.00
_cell_angle_beta 90.00
_cell_angle_gamma 90.00
_space_group_name_H-M_alt 'P -4 m 2'
_space_group_IT_number 115
loop_
_space_group_symop_operation_xyz
'x,y,z'
'y,-x,-z'
'-x,-y,z'
'-y,x,-z'
'-x,y,z'
'-y,-x,-z'
'x,-y,z'
'y,x,-z'
loop_
_atom_site_label
_atom_site_fract_x
_atom_site_fract_y
_atom_site_fract_z
Li1 0.000 0.000 0.000
Sm1 0.000 0.500 0.747
Al1 0.000 0.500 0.373
Al2 0.500 0.500 0.000
Pd1 0.000 0.000 0.500
Pd2 0.000 0.500 0.132
Pd3 0.500 0.500 0.500


(6)
# Li2Sm2AlPd5 PBE-GGA optimized geometry
# Crystal system: tetragonal
# Energy of formation from the pure elements: -6.9 eV/f.u.
# DOS(E_F): 2.047 states/eV/f.u.
data_Li2Sm2AlPd5
_cell_length_a 9.764
_cell_length_b 9.764
_cell_length_c 3.570
_cell_angle_alpha 90.00
_cell_angle_beta 90.00
_cell_angle_gamma 90.00
_space_group_name_H-M_alt 'P 4/m b m'
_space_group_IT_number 127
_space_group_name_Hall '-P 4 2ab'
loop_
_atom_site_label
_atom_site_fract_x
_atom_site_fract_y
_atom_site_fract_z
Li1 0.123 0.377 0.000
Sm1 0.177 0.677 0.000
Al1 0.000 0.000 0.000
Pd1 0.000 0.500 0.500
Pd2 0.062 0.201 0.500


(7)
# Li2Sm2Al5Pd PBE-GGA optimized geometry
# Crystal system: tetragonal
# Energy of formation from the pure elements: -3.7 eV/f.u.
# DOS(E_F): 2.519 states/eV/f.u.
data_Li2Sm2Al5Pd
_cell_length_a 9.835
_cell_length_b 9.835
_cell_length_c 3.870
_cell_angle_alpha 90.00
_cell_angle_beta 90.00
_cell_angle_gamma 90.00
_space_group_name_H-M_alt 'P 4/m b m'
_space_group_IT_number 127
_space_group_name_Hall '-P 4 2ab'
loop_
_atom_site_label
_atom_site_fract_x
_atom_site_fract_y
_atom_site_fract_z
Li1 0.117 0.383 0.000
Sm1 0.183 0.683 0.000
Al1 0.000 0.500 0.500
Al2 0.049 0.192 0.500
Pd1 0.000 0.000 0.000


(8)
# LiSm2Al4Pd3 PBE-GGA optimized geometry
# Crystal system: tetragonal
# Energy of formation from the pure elements: -7.1 eV/f.u.
# DOS(E_F): 4.838 states/eV/f.u.
data_LiSm2Al4Pd3
_cell_length_a 4.197
_cell_length_b 4.197
_cell_length_c 10.941
_cell_angle_alpha 90.00
_cell_angle_beta 90.00
_cell_angle_gamma 90.00
_space_group_name_H-M_alt 'P -4 m 2'
_space_group_IT_number 115
loop_
_space_group_symop_operation_xyz
'x,y,z'
'y,-x,-z'
'-x,-y,z'
'-y,x,-z'
'-x,y,z'
'-y,-x,-z'
'x,-y,z'
'y,x,-z'
loop_
_atom_site_label
_atom_site_fract_x
_atom_site_fract_y
_atom_site_fract_z
Li1 0.000 0.000 0.000
Sm1 0.000 0.500 0.742
Al1 0.000 0.000 0.500
Al2 0.000 0.500 0.134
Al3 0.500 0.500 0.500
Pd1 0.000 0.500 0.366
Pd2 0.500 0.500 0.000


(9)
# LiSmAlPd PBE-GGA optimized geometry
# Crystal system: cubic
# Energy of formation from the pure elements: -2.1 eV/f.u.
# DOS(E_F): 6.908 states/eV/f.u.
data_LiSmAlPd
_cell_length_a 6.721
_cell_length_b 6.721
_cell_length_c 6.721
_cell_angle_alpha 90.00
_cell_angle_beta 90.00
_cell_angle_gamma 90.00
_space_group_name_H-M_alt 'F -4 3 m'
_space_group_IT_number 216
_space_group_name_Hall 'F -4 2 3'
loop_
_atom_site_label
_atom_site_fract_x
_atom_site_fract_y
_atom_site_fract_z
Li1 0.000 0.000 0.000
Sm1 0.250 0.250 0.750
Al1 0.250 0.250 0.250
Pd1 0.000 0.000 0.500


(10)
# LiSmAlPd2 PBE-GGA optimized geometry
# Crystal system: tetragonal
# Energy of formation from the pure elements: -3.6 eV/f.u.
# DOS(E_F): 1.273 states/eV/f.u.
data_LiSmAlPd2
_cell_length_a 3.946
_cell_length_b 3.946
_cell_length_c 12.045
_cell_angle_alpha 90.00
_cell_angle_beta 90.00
_cell_angle_gamma 90.00
_space_group_name_H-M_alt 'I -4 m 2'
_space_group_IT_number 119
_space_group_name_Hall 'I -4 -2'
loop_
_atom_site_label
_atom_site_fract_x
_atom_site_fract_y
_atom_site_fract_z
Li1 0.000 0.000 0.000
Sm1 0.000 0.500 0.250
Al1 0.000 0.000 0.500
Pd1 0.000 0.500 0.636


(11)
# SrLi2AlPd2 PBE-GGA optimized geometry
# Crystal system: tetragonal
# Energy of formation from the pure elements: -2.0 eV/f.u.
# DOS(E_F): 4.102 states/eV/f.u.
data_SrLi2AlPd2
_cell_length_a 4.759
_cell_length_b 4.759
_cell_length_c 6.229
_cell_angle_alpha 90.00
_cell_angle_beta 90.00
_cell_angle_gamma 90.00
_space_group_name_H-M_alt 'P 4/m m m'
_space_group_IT_number 123
_space_group_name_Hall '-P 4 2'
loop_
_atom_site_label
_atom_site_fract_x
_atom_site_fract_y
_atom_site_fract_z
Sr1 0.000 0.000 0.000
Li1 0.500 0.500 0.292
Al1 0.000 0.000 0.500
Pd1 0.000 0.500 0.500


(12)
# Sr2LiAlPd2 PBE-GGA optimized geometry
# Crystal system: orthorhombic
# Energy of formation from the pure elements: -3.4 eV/f.u.
# DOS(E_F): 2.913 states/eV/f.u.
data_Sr2LiAlPd2
_cell_length_a 6.139
_cell_length_b 15.329
_cell_length_c 6.206
_cell_angle_alpha 90.00
_cell_angle_beta 90.00
_cell_angle_gamma 90.00
_space_group_name_H-M_alt 'I b a m'
_space_group_IT_number 72
_space_group_name_Hall '-I 2 2c'
loop_
_atom_site_label
_atom_site_fract_x
_atom_site_fract_y
_atom_site_fract_z
Sr1 0.240 0.168 0.000
Li1 0.000 0.000 0.250
Al1 0.000 0.500 0.250
Pd1 0.222 0.401 0.000


(13)
# SrLiAlPd PBE-GGA optimized geometry
# Crystal system: trigonal
# Energy of formation from the pure elements: -2.0 eV/f.u.
# DOS(E_F): 3.135 states/eV/f.u.
data_SrLiAlPd
_cell_length_a 4.4803
_cell_length_b 4.4803
_cell_length_c 16.0762
_cell_angle_alpha 90.00
_cell_angle_beta 90.00
_cell_angle_gamma 120.00
_space_group_name_H-M_alt 'R 3 m'
_space_group_IT_number 160
_space_group_name_Hall 'R 3 -2"'
loop_
_atom_site_label
_atom_site_fract_x
_atom_site_fract_y
_atom_site_fract_z
Sr1 0.0000 0.0000 0.0000
Li1 0.0000 0.0000 0.8082
Al1 0.0000 0.0000 0.5210
Pd1 0.0000 0.0000 0.1972


(14)
# SrLiAl2Pd PBE-GGA optimized geometry
# Crystal system: tetragonal
# Energy of formation from the pure elements: -1.7 eV/f.u.
# DOS(E_F): 3.621 states/eV/f.u.
data_SrLiAl2Pd
_cell_length_a 4.813
_cell_length_b 4.813
_cell_length_c 4.981
_cell_angle_alpha 90.00
_cell_angle_beta 90.00
_cell_angle_gamma 90.00
_space_group_name_H-M_alt 'P 4/m m m'
_space_group_IT_number 123
_space_group_name_Hall '-P 4 2'
loop_
_atom_site_label
_atom_site_fract_x
_atom_site_fract_y
_atom_site_fract_z
Sr1 0.000 0.000 0.000
Li1 0.500 0.500 0.000
Al1 0.000 0.500 0.500
Pd1 0.500 0.500 0.500


(15)
# Li2Tb2Al5Pd PBE-GGA optimized geometry
# Crystal system: tetragonal
# Energy of formation from the pure elements: -3.7 eV/f.u.
# DOS(E_F): 2.943 states/eV/f.u.
data_Li2Tb2Al5Pd
_cell_length_a 10.185
_cell_length_b 10.185
_cell_length_c 3.526
_cell_angle_alpha 90.00
_cell_angle_beta 90.00
_cell_angle_gamma 90.00
_space_group_name_H-M_alt 'P 4/m b m'
_space_group_IT_number 127
_space_group_name_Hall '-P 4 2ab'
loop_
_atom_site_label
_atom_site_fract_x
_atom_site_fract_y
_atom_site_fract_z
Li1 0.125 0.375 0.000
Tb1 0.178 0.678 0.000
Al1 0.000 0.500 0.500
Al2 0.052 0.191 0.500
Pd1 0.000 0.000 0.000


(16)
# LiTb2Al2Pd5 PBE-GGA optimized geometry
# Crystal system: tetragonal
# Energy of formation from the pure elements: -7.1 eV/f.u.
# DOS(E_F): 6.475 states/eV/f.u.
data_LiTb2Al2Pd5
_cell_length_a 10.306
_cell_length_b 10.306
_cell_length_c 3.363
_cell_angle_alpha 90.00
_cell_angle_beta 90.00
_cell_angle_gamma 90.00
_space_group_name_H-M_alt 'P 4/m b m'
_space_group_IT_number 127
_space_group_name_Hall '-P 4 2ab'
loop_
_atom_site_label
_atom_site_fract_x
_atom_site_fract_y
_atom_site_fract_z
Li1 0.000 0.000 0.000
Tb1 0.173 0.327 0.000
Al1 0.128 0.628 0.000
Pd1 0.000 0.500 0.500
Pd2 0.060 0.799 0.500


(17)
# LiTbAl2Pd4 PBE-GGA optimized geometry
# Crystal system: trigonal
# Energy of formation from the pure elements: -6.7 eV/f.u.
# DOS(E_F): 3.382 states/eV/f.u.
data_LiTbAl2Pd4
_cell_length_a 4.3205
_cell_length_b 4.3205
_cell_length_c 24.5254
_cell_angle_alpha 90.00
_cell_angle_beta 90.00
_cell_angle_gamma 120.00
_space_group_name_H-M_alt 'R -3 m'
_space_group_IT_number 166
_space_group_name_Hall '-R 3 2"'
loop_
_atom_site_label
_atom_site_fract_x
_atom_site_fract_y
_atom_site_fract_z
Li1 0.0000 0.0000 0.0000
Tb1 0.0000 0.0000 0.5000
Al1 0.0000 0.0000 0.2629
Pd1 0.0000 0.0000 0.1002
Pd2 0.0000 0.0000 0.3708


(18)
# LiTh2Al4Pd3 PBE-GGA optimized geometry
# Crystal system: tetragonal
# Energy of formation from the pure elements: -6.8 eV/f.u.
# DOS(E_F): 9.860 states/eV/f.u.
data_LiTh2Al4Pd3
_cell_length_a 4.314
_cell_length_b 4.314
_cell_length_c 10.437
_cell_angle_alpha 90.00
_cell_angle_beta 90.00
_cell_angle_gamma 90.00
_space_group_name_H-M_alt 'P -4 m 2'
_space_group_IT_number 115
loop_
_space_group_symop_operation_xyz
'x,y,z'
'y,-x,-z'
'-x,-y,z'
'-y,x,-z'
'-x,y,z'
'-y,-x,-z'
'x,-y,z'
'y,x,-z'
loop_
_atom_site_label
_atom_site_fract_x
_atom_site_fract_y
_atom_site_fract_z
Li1 0.000 0.000 0.000
Th1 0.000 0.500 0.749
Al1 0.000 0.000 0.500
Al2 0.000 0.500 0.130
Al3 0.500 0.500 0.500
Pd1 0.000 0.500 0.368
Pd2 0.500 0.500 0.000


(19)
# LiThAlPd PBE-GGA optimized geometry
# Crystal system: cubic
# Energy of formation from the pure elements: -2.0 eV/f.u.
# DOS(E_F): 0.449 states/eV/f.u.
data_LiThAlPd
_cell_length_a 6.803
_cell_length_b 6.803
_cell_length_c 6.803
_cell_angle_alpha 90.00
_cell_angle_beta 90.00
_cell_angle_gamma 90.00
_space_group_name_H-M_alt 'F -4 3 m'
_space_group_IT_number 216
_space_group_name_Hall 'F -4 2 3'
loop_
_atom_site_label
_atom_site_fract_x
_atom_site_fract_y
_atom_site_fract_z
Li1 0.000 0.000 0.000
Th1 0.250 0.250 0.750
Al1 0.250 0.250 0.250
Pd1 0.000 0.000 0.500


(20)
# LiTi2Al5Pd2 PBE-GGA optimized geometry
# Crystal system: tetragonal
# Energy of formation from the pure elements: -4.7 eV/f.u.
# DOS(E_F): 3.048 states/eV/f.u.
data_LiTi2Al5Pd2
_cell_length_a 9.034
_cell_length_b 9.034
_cell_length_c 3.987
_cell_angle_alpha 90.00
_cell_angle_beta 90.00
_cell_angle_gamma 90.00
_space_group_name_H-M_alt 'P 4/m b m'
_space_group_IT_number 127
_space_group_name_Hall '-P 4 2ab'
loop_
_atom_site_label
_atom_site_fract_x
_atom_site_fract_y
_atom_site_fract_z
Li1 0.000 0.000 0.000
Ti1 0.178 0.322 0.000
Al1 0.000 0.500 0.500
Al2 0.059 0.795 0.500
Pd1 0.121 0.621 0.000


(21)
# LiTmAl2Pd4 PBE-GGA optimized geometry
# Crystal system: trigonal
# Energy of formation from the pure elements: -6.7 eV/f.u.
# DOS(E_F): 3.052 states/eV/f.u.
data_LiTmAl2Pd4
_cell_length_a 4.3250
_cell_length_b 4.3250
_cell_length_c 23.9006
_cell_angle_alpha 90.00
_cell_angle_beta 90.00
_cell_angle_gamma 120.00
_space_group_name_H-M_alt 'R -3 m'
_space_group_IT_number 166
_space_group_name_Hall '-R 3 2"'
loop_
_atom_site_label
_atom_site_fract_x
_atom_site_fract_y
_atom_site_fract_z
Li1 0.0000 0.0000 0.0000
Tm1 0.0000 0.0000 0.5000
Al1 0.0000 0.0000 0.2613
Pd1 0.0000 0.0000 0.1042
Pd2 0.0000 0.0000 0.3719


E, record by record: -26.3 -16.7 -50.7 -51.6 -51.2 -49.9 -40.9 -49.0 -17.7 -24.3 -21.6 -22.8 -14.5 -18.0 -40.7 -51.8 -41.5 -54.1 -20.3 -51.5 -41.4 eV per formula unit